Record 1
A plane-wave DFT calculation with PBE was carried out for crystalline TmZrRh4 at its relaxed geometry.

The calculation puts the total DFT energy (no corrections) at -44.48 eV/cell. As for the energy of formation from the pure elements: -33.07 kJ/mol of atoms.

The structure belongs to space group Pmmm (No. 47); the cell edges are 3.121, 4.552 and 7.773 Å and the angles 90.00°, 90.00° and 90.00°. Symmetry generates all atoms from Tm at (0.000, 0.000, 0.000), Zr at (0.500, 0.500, 0.500), Rh at (0.000, 0.500, 0.222) and Rh at (0.500, 0.000, 0.298).

---

Record 2
A plane-wave DFT calculation with PBE was carried out for crystalline K2UZnSe4 at its relaxed geometry.

The calculation puts the total DFT energy (no corrections) at -72.76 eV/cell. For the formation energy without anion corrections, the calculation gives -0.960 eV per atom.

The structure belongs to space group I-42m (No. 121); the cell edges are 8.086, 8.086 and 6.945 Å and the angles 90.00°, 90.00° and 90.00°. Symmetry generates all atoms from K at (0.000, 0.500, 0.000), U at (0.000, 0.000, 0.000), Zn at (0.000, 0.000, 0.500) and Se at (0.174, 0.174, 0.273).